The following is a PBE calculation of a geometry-optimized KCa2HgPd structure, from the Alexandria database.

## Properties
* density of states at the Fermi level: 0.435 states/eV per atom
* raw total energy: -12.00 eV for the cell shown
* space group: P4/mmm (123)
* volume: 172 Å³/cell
* energy above the most stable polymorph in this dataset: 0.0 meV per atom
* DFT formation energy: -280.7 meV per atom

Unit cell a=5.600 b=5.600 c=5.490 alpha=90.00 beta=90.00 gamma=90.00
Fractional positions:
K 0.500 0.500 0.500
Pd 0.000 0.000 0.000
Hg 0.000 0.000 0.500
Ca 0.500 0.000 0.000
Ca 0.000 0.500 0.000

=====

The following is a PBE calculation of a geometry-optimized KCa2HgPd structure, from the Alexandria database.

## Properties
* density of states at the Fermi level: 0.488 states/eV per atom
* raw total energy: -11.47 eV for the cell shown
* space group: P4/mmm (123)
* volume: 189 Å³/cell
* energy above the most stable polymorph in this dataset: 105.1 meV per atom
* DFT formation energy: -175.6 meV per atom

Unit cell a=5.551 b=6.138 c=5.551 alpha=90.00 beta=90.00 gamma=90.00
Fractional positions:
Ca 0.500 0.000 0.000
Ca 0.000 0.000 0.500
Hg 0.500 0.500 0.500
K 0.000 0.500 0.000
Pd 0.000 0.000 0.000

=====

The following is a PBE calculation of a geometry-optimized KCa2HgPt structure, from the Alexandria database.

## Properties
* density of states at the Fermi level: 0.445 states/eV per atom
* raw total energy: -13.38 eV for the cell shown
* space group: P4/mmm (123)
* volume: 171 Å³/cell
* DFT formation energy: -387.6 meV per atom

Unit cell a=5.585 b=5.585 c=5.484 alpha=90.00 beta=90.00 gamma=90.00
Fractional positions:
Hg 0.000 0.000 0.500
Ca 0.500 0.000 0.000
Ca 0.000 0.500 0.000
Pt 0.000 0.000 0.000
K 0.500 0.500 0.500

=====

The following is a PBE calculation of a geometry-optimized K2RbCaHg structure, from the Alexandria database.

## Properties
* density of states at the Fermi level: 0.716 states/eV per atom
* raw total energy: -5.66 eV for the cell shown
* space group: P4/mmm (123)
* volume: 289 Å³/cell
* DFT formation energy: -39.6 meV per atom

Unit cell a=6.828 b=6.828 c=6.207 alpha=90.00 beta=90.00 gamma=90.00
Fractional positions:
K 0.000 0.500 0.000
K 0.500 0.000 0.000
Ca 0.000 0.000 0.500
Hg 0.000 0.000 0.000
Rb 0.500 0.500 0.500